{
  "formula": "TbScTeO6",
  "functional": "GGA-PBE",
  "state": "optimized geometry",
  "m_tot_mub_per_cell": 0.0,
  "raw_formation_energy_ev_per_atom": -2.48,
  "spacegroup": "P-31c, No. 163",
  "dos_at_fermi_per_ev_cell": 0.0,
  "final_energy_ev_per_cell": -132.3,
  "cell": [[5.343, 0.000, 0.000], [-2.671, 4.627, 0.000], [0.000, 0.000, 9.727]],
  "species": ["Tb", "Tb", "Sc", "Sc", "Te", "Te", "O", "O", "O", "O", "O", "O", "O", "O", "O", "O", "O", "O"],
  "fractional_positions": [[0.000, 0.000, 0.000], [0.000, 0.000, 0.500], [0.333, 0.667, 0.250], [0.667, 0.333, 0.750], [0.333, 0.667, 0.750], [0.667, 0.333, 0.250], [0.024, 0.369, 0.638], [0.024, 0.655, 0.862], [0.345, 0.369, 0.862], [0.345, 0.976, 0.638], [0.369, 0.024, 0.138], [0.369, 0.345, 0.362], [0.631, 0.655, 0.638], [0.631, 0.976, 0.862], [0.655, 0.024, 0.362], [0.655, 0.631, 0.138], [0.976, 0.345, 0.138], [0.976, 0.631, 0.362]]
}